KCr2CuMo | PBE-GGA | optimized geometry

Summary:
Total DFT energy (no corrections)   -5.8503 eV per atom
Space-group type   P4/mmm (123)
Size of the total moment   4.98 μB per formula unit
DFT formation energy   6.0 eV per formula unit

Lattice parameters (Å, degrees): 4.7407 5.1483 4.7407 90.00 90.00 90.00
With the nearest neighbours (Å) after each atom.
Element x y z (fractional)
Cr  0.0000  0.0000  0.5000  2 Mo 2.37
Cr  0.5000  0.0000  0.0000  2 Mo 2.37
Mo  0.0000  0.0000  0.0000  4 Cr 2.37, 2 Cu 2.57
K  0.5000  0.5000  0.5000  4 Cu 3.35, 8 Cr 3.50
Cu  0.0000  0.5000  0.0000  2 Mo 2.57